Compound: KTl2O
Source: Alexandria
Functional: PBE
Structure: relaxed

Cell and atoms, written as CIF:
```
data_KTl2O
_chemical_formula_sum 'K4 Tl8 O4'
_space_group_name_H-M_alt 'F m -3 m'
_space_group_IT_number 225
_space_group_name_Hall '-F 4 2 3'
_cell_length_a 7.445
_cell_length_b 7.445
_cell_length_c 7.445
_cell_angle_alpha 90.00
_cell_angle_beta 90.00
_cell_angle_gamma 90.00
loop_
_atom_site_label
_atom_site_type_symbol
_atom_site_fract_x
_atom_site_fract_y
_atom_site_fract_z
K1 K 0.000 0.000 0.000
Tl1 Tl 0.250 0.250 0.250
O1 O 0.000 0.000 0.500
```

## Properties
The calculation puts the density of states at the Fermi level at 6.27 states/eV/cell. The polymorph energy (0 for the lowest one) comes out at 473.8 meV/atom. The magnetization comes out at 0.00 μB per cell. The value obtained for the energy is -2.64 eV per atom. The volume comes out at 25.80 A^3/atom.